Below is crystalline Tb2AlGe3 at its relaxed geometry, with properties calculated at the PBEsol level.

```
Tb2AlGe3
1.0
6.722 0.000 0.000
0.000 4.160 0.000
0.000 0.000 17.510
Tb Al Ge
8 4 12
Direct
0.163 0.250 0.204
0.169 0.250 0.415
0.331 0.750 0.915
0.337 0.750 0.704
0.663 0.250 0.296
0.669 0.250 0.085
0.831 0.750 0.585
0.837 0.750 0.796
0.047 0.750 0.065
0.453 0.250 0.565
0.547 0.750 0.435
0.953 0.250 0.935
0.041 0.250 0.671
0.152 0.250 0.811
0.250 0.250 0.035
0.250 0.750 0.535
0.348 0.750 0.311
0.459 0.750 0.171
0.541 0.250 0.829
0.652 0.250 0.689
0.750 0.250 0.465
0.750 0.750 0.965
0.848 0.750 0.189
0.959 0.750 0.329
```

## Properties
* calculated total energy: -5.53 eV/atom
* density of states at the Fermi level: 9.9 states/eV per cell
* formation enthalpy at 0 K: -0.712 eV per atom
* space-group type: Pnma